No. 1
Computed, not measured: an optimized crystal structure of MgSbMo2 at the PBE level of DFT.

Cell: 4.4069 3.9978 3.9978 Å, 90.00 90.00 90.00°
With the nearest neighbours (Å) after each atom.
Fractional coordinates of all 4 atoms:
1 Mg 0.5000 0.0000 0.5000  4 Sb 2.83, 8 Mo 2.98
2 Mo 0.0000 0.0000 0.0000  4 Mo 2.83, 4 Sb 2.98, 4 Mg 2.98
3 Mo 0.0000 0.5000 0.5000  4 Mo 2.83, 4 Sb 2.98, 4 Mg 2.98
4 Sb 0.5000 0.5000 0.0000  4 Mg 2.83, 8 Mo 2.98

Summary:
**Energy relative to the lowest polymorph listed for this composition**: 228 meV/atom
**Calculated density**: 8.0 g/cm³

=====

No. 2
Computed, not measured: an optimized crystal structure of MgSb2Mo at the PBE level of DFT.

Cell: 3.4436 3.4300 8.3257 Å, 60.15 90.00 90.00°
With the nearest neighbours (Å) after each atom.
Fractional coordinates of all 4 atoms:
1 Sb 0.0000 0.9977 0.9669  4 Mo 2.87-2.91, 2 Mg 3.01, 1 Sb 3.13
2 Sb 0.0000 0.5023 0.5331  4 Mo 2.87-2.91, 2 Mg 3.01, 1 Sb 3.13
3 Mo 0.5000 0.7500 0.7500  8 Sb 2.87-2.91
4 Mg 0.5000 0.2500 0.2500  8 Sb 3.01-3.36

Summary:
**Calculated density**: 7.1 g/cm³

=====

No. 3
Computed, not measured: an optimized crystal structure of Mg2SbMo at the PBE level of DFT.

Cell: 5.5630 5.5630 2.9934 Å, 82.65 82.65 119.30°
With the nearest neighbours (Å) after each atom.
Fractional coordinates of all 4 atoms:
1 Mg 0.0000 0.0000 0.0000  4 Mg 2.81-2.99, 2 Sb 2.99, 2 Mo 2.99
2 Mg 0.5000 0.5000 0.0000  4 Mg 2.81-2.99, 2 Mo 2.99, 2 Sb 2.99
3 Mo 0.5000 0.0000 0.5000  2 Sb 2.81, 4 Mg 2.99, 2 Mo 2.99
4 Sb 0.0000 0.5000 0.5000  2 Mo 2.81, 4 Mg 2.99, 2 Sb 2.99

Summary:
**Calculated density**: 5.7 g/cm³

=====

No. 4
Computed, not measured: an optimized crystal structure of Mg2SbMo at the PBE level of DFT.

Cell: 9.4827 9.4827 9.4827 Å, 19.89 19.89 19.89°
With the nearest neighbours (Å) after each atom.
Fractional coordinates of all 4 atoms:
1 Mg 0.0019 0.0019 0.0019  3 Sb 3.18, 9 Mg 3.23-3.28
2 Mg 0.2414 0.2414 0.2414  3 Mo 2.89, 3 Mg 3.23
3 Mo 0.4965 0.4965 0.4965  3 Sb 2.71, 3 Mg 2.89
4 Sb 0.7602 0.7602 0.7602  3 Mo 2.71

Summary:
**Calculated density**: 5.1 g/cm³

=====

No. 5
Computed, not measured: an optimized crystal structure of MgSbMo2 at the PBE level of DFT.

Cell: 5.2565 5.2565 5.2565 Å, 135.42 135.42 64.88°
With the nearest neighbours (Å) after each atom.
Fractional coordinates of all 4 atoms:
1 Mg 0.7500 0.2500 0.5000  4 Sb 2.82, 8 Mo 2.98
2 Mo 0.0000 0.0000 0.0000  4 Mo 2.82, 4 Sb 2.98, 4 Mg 2.98
3 Mo 0.5000 0.5000 0.0000  4 Mo 2.82, 4 Sb 2.98, 4 Mg 2.98
4 Sb 0.2500 0.7500 0.5000  4 Mg 2.82, 8 Mo 2.98

Summary:
**Energy relative to the lowest polymorph listed for this composition**: 232 meV/atom
**Calculated density**: 8.0 g/cm³

=====

No. 6
Computed, not measured: an optimized crystal structure of MgSbMo2 at the PBE level of DFT.

Cell: 2.9429 2.9429 8.9752 Å, 90.00 90.00 108.98°
With the nearest neighbours (Å) after each atom.
Fractional coordinates of all 4 atoms:
1 Mg 0.5000 0.5000 0.7500  4 Mo 2.88, 4 Mg 2.94
2 Mo 0.0000 0.0000 0.0081  2 Sb 2.76, 2 Mg 2.88, 4 Mo 2.94
3 Mo 0.0000 0.0000 0.4919  2 Sb 2.76, 2 Mg 2.88, 4 Mo 2.94
4 Sb 0.5000 0.5000 0.2500  4 Mo 2.76, 4 Sb 2.94

Summary:
**Energy relative to the lowest polymorph listed for this composition**: 404 meV/atom
**Calculated density**: 7.6 g/cm³

=====

No. 7
Computed, not measured: an optimized crystal structure of Mg3SbMo at the PBE level of DFT.

Cell: 5.3183 5.3183 5.3183 Å, 90.00 90.00 90.00°
With the nearest neighbours (Å) after each atom.
Fractional coordinates of all 5 atoms:
1 Sb 0.0000 0.0000 0.0000  6 Mg 2.66
2 Mo 0.5000 0.5000 0.5000  12 Mg 3.76
3 Mg 0.0000 0.5000 0.0000  2 Sb 2.66
4 Mg 0.0000 0.0000 0.5000  2 Sb 2.66
5 Mg 0.5000 0.0000 0.0000  2 Sb 2.66

Summary:
**Energy relative to the lowest polymorph listed for this composition**: 53 meV/atom
**Calculated density**: 3.2 g/cm³

=====

No. 8
Computed, not measured: an optimized crystal structure of MgSb2Mo at the PBE level of DFT.

Cell: 4.9618 4.9618 4.9618 Å, 60.00 60.00 60.00°
With the nearest neighbours (Å) after each atom.
Fractional coordinates of all 4 atoms:
1 Mg 0.5000 0.5000 0.5000  4 Sb 3.04, 4 Mo 3.04
2 Mo 0.2500 0.2500 0.2500  4 Sb 3.04, 4 Mg 3.04
3 Sb 0.0000 0.0000 0.0000  4 Mo 3.04, 4 Sb 3.04
4 Sb 0.7500 0.7500 0.7500  4 Sb 3.04, 4 Mg 3.04

Summary:
**Calculated density**: 7.0 g/cm³

=====

No. 9
Computed, not measured: an optimized crystal structure of MgSbMo2 at the PBE level of DFT.

Cell: 5.4857 5.3570 2.9187 Å, 79.92 79.04 117.40°
With the nearest neighbours (Å) after each atom.
Fractional coordinates of all 4 atoms:
1 Mg 0.5000 0.5000 0.0000  4 Mo 2.82, 2 Sb 2.85, 2 Mg 2.92
2 Mo 0.0000 0.0000 0.0000  2 Sb 2.82, 2 Mg 2.82, 4 Mo 2.85-2.92
3 Mo 0.5000 0.0000 0.5000  2 Mg 2.82, 2 Sb 2.82, 4 Mo 2.85-2.92
4 Sb 0.0000 0.5000 0.5000  4 Mo 2.82, 2 Mg 2.85, 2 Sb 2.92

Summary:
**Energy relative to the lowest polymorph listed for this composition**: 277 meV/atom
**Calculated density**: 7.9 g/cm³

=====

No. 10
Computed, not measured: an optimized crystal structure of MgSb2Mo at the PBE level of DFT.

Cell: 3.0385 3.0385 10.4763 Å, 90.00 90.00 104.57°
With the nearest neighbours (Å) after each atom.
Fractional coordinates of all 4 atoms:
1 Mg 0.0000 0.0000 0.5324  2 Mo 2.85, 4 Mg 3.04, 2 Sb 3.12
2 Mo 0.5000 0.5000 0.7389  2 Sb 2.77, 2 Mg 2.85, 4 Mo 3.04
3 Sb 0.0000 0.0000 0.9354  2 Mo 2.77, 4 Sb 3.04
4 Sb 0.5000 0.5000 0.2932  4 Sb 3.04, 2 Mg 3.12

Summary:
**Calculated density**: 6.5 g/cm³

=====

No. 11
Computed, not measured: an optimized crystal structure of MgSbMo2 at the PBE level of DFT.

Cell: 9.3552 9.3552 9.3552 Å, 19.42 19.42 19.42°
With the nearest neighbours (Å) after each atom.
Fractional coordinates of all 4 atoms:
1 Mg 0.7422 0.7422 0.7422  3 Mo 2.96, 6 Mg 3.16, 3 Sb 3.30
2 Mo 0.9907 0.9907 0.9907  3 Mo 2.56
3 Mo 0.2585 0.2585 0.2585  3 Mo 2.56
4 Sb 0.5086 0.5086 0.5086  3 Mo 2.93, 6 Sb 3.16

Summary:
**Energy relative to the lowest polymorph listed for this composition**: 86 meV/atom
**Calculated density**: 7.1 g/cm³

=====

No. 12
Computed, not measured: an optimized crystal structure of MgSb3Mo at the PBE level of DFT.

Cell: 5.2905 5.2905 5.2905 Å, 90.00 90.00 90.00°
With the nearest neighbours (Å) after each atom.
Fractional coordinates of all 5 atoms:
1 Sb 0.0000 0.5000 0.0000  2 Mg 2.65
2 Sb 0.0000 0.0000 0.5000  2 Mg 2.65
3 Sb 0.5000 0.0000 0.0000  2 Mg 2.65
4 Mo 0.5000 0.5000 0.5000  12 Sb 3.74
5 Mg 0.0000 0.0000 0.0000  6 Sb 2.65

Summary:
**Energy relative to the lowest polymorph listed for this composition**: 736 meV/atom
**Calculated density**: 5.4 g/cm³

=====

no.,uncorrected formation energy (eV/f.u.)
1,1.46
2,0.10
3,1.00
4,0.95
5,1.47
6,2.16
7,5.39
8,2.32
9,1.65
10,1.00
11,0.89
12,5.92